[1]
# LiPr3Ru PBE relaxed
# DFT formation energy in kcal/mol of atoms: -1.92
# Relative energy among the computed polymorphs in meV/atom: 0
data_LiPr3Ru
_cell_length_a 9.639
_cell_length_b 6.678
_cell_length_c 10.589
_cell_angle_alpha 90.00
_cell_angle_beta 123.20
_cell_angle_gamma 90.00
_space_group_name_H-M_alt 'P 1 21/c 1'
_space_group_IT_number 14
loop_
_space_group_symop_operation_xyz
'x,y,z'
'-x,-y,-z'
'-x,y+1/2,-z+1/2'
'x,-y+1/2,z+1/2'
loop_
_atom_site_label
_atom_site_fract_x
_atom_site_fract_y
_atom_site_fract_z
Li1 0.000 0.194 0.000
Pr1 0.224 0.000 0.424
Pr2 0.224 0.000 0.802
Pr3 0.398 0.000 0.199
Ru1 0.500 0.250 0.000

---

[2]
# Be2ReHgB PBE relaxed
# DFT formation energy in kcal/mol of atoms: 10.92
data_Be2ReHgB
_cell_length_a 3.923
_cell_length_b 3.923
_cell_length_c 4.132
_cell_angle_alpha 90.00
_cell_angle_beta 90.00
_cell_angle_gamma 90.00
_space_group_name_H-M_alt 'P 4/m m m'
_space_group_IT_number 123
_space_group_name_Hall '-P 4 2'
loop_
_atom_site_label
_atom_site_fract_x
_atom_site_fract_y
_atom_site_fract_z
Be1 0.000 0.500 0.000
Re1 0.000 0.000 0.500
Hg1 0.500 0.500 0.500
B1 0.000 0.000 0.000

---

[3]
# Ca4Au3 PBE relaxed
# DFT formation energy in kcal/mol of atoms: -16.04
data_Ca4Au3
_cell_length_a 5.1237
_cell_length_b 5.1237
_cell_length_c 25.2698
_cell_angle_alpha 90.00
_cell_angle_beta 90.00
_cell_angle_gamma 120.00
_space_group_name_H-M_alt 'R -3 m'
_space_group_IT_number 166
_space_group_name_Hall '-R 3 2"'
loop_
_atom_site_label
_atom_site_fract_x
_atom_site_fract_y
_atom_site_fract_z
Ca1 0.0000 0.0000 0.1245
Ca2 0.0000 0.0000 0.3742
Au1 0.0000 0.0000 0.0000
Au2 0.0000 0.0000 0.2475